Computed, not measured: a geometry-optimized SrIn2SnIr2 structure at the PBE level of DFT.

Cell lengths 4.9956, 4.9956, 6.1992 Å; angles 90.00, 90.00, 90.00 degrees
Closest atoms and distances in Å follow each position.
Fractional positions:
Sr 0.0000 0.0000 0.0000  2 Sn 3.10
In 0.5000 0.5000 0.2513  4 Ir 2.94, 2 In 3.08-3.12
In 0.5000 0.5000 0.7487  4 Ir 2.94, 2 In 3.08-3.12
Sn 0.0000 0.0000 0.5000  4 Ir 2.50
Ir 0.0000 0.5000 0.5000  2 Sn 2.50
Ir 0.5000 0.0000 0.5000  2 Sn 2.50

Values from the calculation:
As for the space group: P4/mmm, No. 123. The value obtained for the calculated density is 8.806 g/cm3. The calculated formation energy comes out at 0.0258 eV per atom.